[1]
Entry from Alexandria: an optimized crystal structure of Tb2YEr2Sc2 (PBE-GGA).

extended XYZ file:
```
7
Lattice="3.386 0.000 0.000 -1.693 8.544 -0.815 0.000 -2.979 7.608" Properties=species:S:1:pos:R:3 pbc="T T T"
Tb 1.693 -1.492 6.839
Tb 0.000 7.057 -0.047
Y 0.000 -1.490 3.804
Er 0.000 1.263 5.670
Er 1.693 4.302 1.123
Sc 1.693 1.428 2.749
Sc 0.000 4.137 4.043
```

## Properties
Mass density ... 6.5 g/cm3
Formation energy from the elements ... 0.181 eV/atom
Total magnetization ... 0.00 μB/f.u.

[2]
Entry from Alexandria: an optimized crystal structure of Be3AlIr4 (PBE-GGA).

extended XYZ file:
```
16
Lattice="4.047 0.000 0.000 0.000 5.755 0.000 0.000 0.000 8.095" Properties=species:S:1:pos:R:3 pbc="T T T"
Be 0.000 0.000 0.000
Be 0.000 0.000 4.047
Be 2.024 0.000 6.071
Be 2.024 0.000 2.024
Be 2.024 2.877 6.071
Be 2.023 2.877 2.024
Ir 2.024 4.374 0.000
Ir 2.024 4.374 4.047
Ir 2.024 1.381 0.000
Ir 2.024 1.381 4.047
Ir 4.047 4.374 6.071
Ir 0.000 4.374 2.024
Ir 0.000 1.381 2.024
Ir 4.047 1.381 6.071
Al 0.000 2.877 0.000
Al 0.000 2.877 4.047
```

## Properties
Mass density ... 14.5 g/cm3
Formation energy from the elements ... -0.651 eV/atom
Total magnetization ... 0.00 μB/f.u.

[3]
Entry from Alexandria: an optimized crystal structure of LaZnCu6Si (PBE-GGA).

extended XYZ file:
```
18
Lattice="7.851 0.000 0.000 0.000 5.270 0.000 -3.925 -2.635 6.927" Properties=species:S:1:pos:R:3 pbc="T T T"
La 3.925 1.318 3.381
La 0.000 1.318 3.546
Zn 1.963 -1.318 3.463
Zn -1.963 -1.318 3.463
Cu 3.925 3.953 1.931
Cu 0.000 1.318 0.056
Cu 6.049 0.011 1.269
Cu 1.802 2.624 1.269
Cu 1.802 0.011 1.269
Cu 6.049 2.624 1.269
Cu 0.000 -1.318 4.995
Cu 3.925 1.318 6.870
Cu -2.124 2.624 5.657
Cu 2.124 0.011 5.657
Cu 2.124 2.624 5.657
Cu -2.124 0.011 5.657
Si 3.925 2.635 0.000
Si 3.925 0.000 0.000
```

## Properties
Mass density ... 7.1 g/cm3
Formation energy (no corrections) ... -0.052 eV per atom
Total magnetization ... 0.00 μB/f.u.

[4]
Entry from Alexandria: an optimized crystal structure of DyZrN (PBE-GGA).

extended XYZ file:
```
3
Lattice="5.644 0.000 0.000 0.000 3.379 0.000 0.000 -1.689 2.926" Properties=species:S:1:pos:R:3 pbc="T T T"
N 5.574 0.000 0.000
Zr 4.381 1.689 0.975
Dy 1.333 0.000 1.951
```

## Properties
Mass density ... 8.0 g/cm3
Formation energy (no corrections) ... -1.059 eV per atom
Total magnetization ... 0.11 μB/f.u.
Offset from the most stable computed form ... 1.58 kJ/mol of atoms

[5]
Entry from Alexandria: an optimized crystal structure of ThNi6H8 (PBE-GGA).

extended XYZ file:
```
15
Lattice="4.979 -0.119 -0.271 -0.279 4.972 -0.271 -0.115 -0.119 4.985" Properties=species:S:1:pos:R:3 pbc="T T T"
Th 0.000 0.000 0.000
Ni 3.009 1.828 3.885
Ni 1.699 4.034 2.886
Ni 3.937 3.066 1.609
Ni 1.575 2.906 0.558
Ni 2.884 0.700 1.557
Ni 0.647 1.668 2.835
H 3.200 3.305 3.102
H 1.384 1.429 1.341
H 2.802 4.093 0.884
H 4.060 1.103 2.773
H 1.009 2.932 3.972
H 1.782 0.641 3.559
H 0.524 3.631 1.670
H 3.575 1.802 0.472
```

## Properties
Mass density ... 8.0 g/cm3
Raw total energy ... -71.18 eV per cell
Total magnetization ... 0.00 μB/f.u.

[6]
Entry from Alexandria: an optimized crystal structure of Rb3TaCo (PBE-GGA).

extended XYZ file:
```
5
Lattice="-2.729 -2.893 5.025 4.733 -4.320 0.084 3.349 3.747 3.976" Properties=species:S:1:pos:R:3 pbc="T T T"
Co 0.000 0.000 0.000
Rb 2.367 -2.160 0.042
Rb 1.675 1.874 1.988
Rb -1.365 -1.447 2.513
Ta 2.677 -1.733 4.543
```

## Properties
Mass density ... 3.1 g/cm3
Formation energy from the elements ... 1.911 eV/atom
Total magnetization ... 3.00 μB/f.u.
Offset from the most stable computed form ... 0.00 kJ/mol of atoms

[7]
Entry from Alexandria: an optimized crystal structure of Cs6HAu2I3 (PBE-GGA).

extended XYZ file:
```
12
Lattice="-0.419 -7.238 -5.609 6.144 6.628 -1.535 3.848 -3.983 7.358" Properties=species:S:1:pos:R:3 pbc="T T T"
Cs 6.327 -5.741 -0.428
Cs 5.234 -1.373 -3.757
Cs 3.245 1.148 0.642
Cs 8.402 -1.357 0.860
Cs 4.338 -3.220 3.972
Cs 1.170 -3.236 -0.646
H 0.000 0.000 0.000
Au 3.950 1.993 -2.897
Au 1.775 -2.603 -4.247
I 6.942 2.258 1.446
I 2.630 -6.851 -1.231
I 4.786 -2.297 0.107
```

## Properties
Mass density ... 4.1 g/cm3
Raw total energy ... -30.37 eV per cell
Total magnetization ... 0.07 μB/f.u.

[8]
Entry from Alexandria: an optimized crystal structure of TaZnHgI2 (PBE-GGA).

extended XYZ file:
```
5
Lattice="6.004 0.000 0.000 0.000 5.484 0.000 0.000 0.000 6.004" Properties=species:S:1:pos:R:3 pbc="T T T"
I 0.000 0.000 3.002
I 3.002 0.000 0.000
Zn 3.002 2.742 3.002
Hg 0.000 0.000 0.000
Ta 0.000 2.742 0.000
```

## Properties
Mass density ... 5.9 g/cm3
Formation energy (no corrections) ... 1.272 eV per atom
Total magnetization ... 2.94 μB/f.u.

[9]
Entry from Alexandria: an optimized crystal structure of BaLiAg2Pb (PBE-GGA).

extended XYZ file:
```
5
Lattice="5.123 0.000 0.000 0.000 5.123 0.000 0.000 0.000 5.150" Properties=species:S:1:pos:R:3 pbc="T T T"
Pb 0.000 0.000 2.575
Ba 2.561 2.561 2.575
Ag 0.000 2.561 0.000
Ag 2.561 0.000 0.000
Li 0.000 0.000 0.000
```

## Properties
Mass density ... 7.0 g/cm3
Formation energy from the elements ... -0.115 eV/atom
Total magnetization ... 0.00 μB/f.u.
Offset from the most stable computed form ... 12.53 kJ/mol of atoms

[10]
Entry from Alexandria: an optimized crystal structure of K2Sr (PBE-GGA).

extended XYZ file:
```
6
Lattice="2.201 8.443 -0.003 -2.201 8.443 -0.003 0.000 2.695 10.594" Properties=species:S:1:pos:R:3 pbc="T T T"
K 0.000 2.317 7.258
K 0.000 6.148 0.265
K 0.000 13.434 10.324
K 0.000 17.265 3.330
Sr 0.000 12.839 3.890
Sr 0.000 6.743 6.699
```

## Properties
Mass density ... 1.4 g/cm3
Formation energy from the elements ... 0.090 eV/atom
Total magnetization ... 0.00 μB/f.u.

[11]
Entry from Alexandria: an optimized crystal structure of VCu2Pt (PBE-GGA).

extended XYZ file:
```
4
Lattice="2.628 0.000 0.000 1.314 2.276 0.000 1.314 0.759 9.476" Properties=species:S:1:pos:R:3 pbc="T T T"
Cu 1.314 0.759 7.036
Cu 3.943 2.276 2.440
Pt 2.628 1.518 4.738
V 0.000 0.000 0.000
```

## Properties
Mass density ... 10.9 g/cm3
Formation energy from the elements ... 0.233 eV/atom
Total magnetization ... 0.00 μB/f.u.

[12]
Entry from Alexandria: an optimized crystal structure of TlCoTe2 (PBE-GGA).

extended XYZ file:
```
4
Lattice="6.550 0.034 -0.265 5.429 3.665 -0.265 2.506 0.774 4.607" Properties=species:S:1:pos:R:3 pbc="T T T"
Co 8.110 2.504 -0.268
Te 3.321 1.025 3.698
Te 3.554 1.097 0.674
Tl 6.745 2.082 2.012
```

## Properties
Mass density ... 7.7 g/cm3
Formation energy (no corrections) ... -0.010 eV per atom
Total magnetization ... 0.00 μB/f.u.

[13]
Entry from Alexandria: an optimized crystal structure of Tb3Cd2Pb (PBE-GGA).

extended XYZ file:
```
12
Lattice="3.813 0.000 0.000 0.000 5.307 0.000 0.000 0.000 16.069" Properties=species:S:1:pos:R:3 pbc="T T T"
Tb 1.906 2.654 10.728
Tb 1.906 0.000 8.035
Tb 1.906 2.654 5.341
Tb 1.907 0.000 2.694
Tb 1.908 2.654 0.000
Tb 1.907 0.000 13.375
Cd 0.001 0.000 10.836
Cd 0.001 0.000 5.233
Cd 3.812 2.654 2.801
Cd 3.812 2.654 13.268
Pb 3.812 2.654 8.035
Pb 0.001 0.000 0.000
```

## Properties
Mass density ... 9.3 g/cm3
Formation energy from the elements ... -0.380 eV/atom
Total magnetization ... 0.00 μB/f.u.

[14]
Entry from Alexandria: an optimized crystal structure of Ag2TeCl4 (PBE-GGA).

extended XYZ file:
```
7
Lattice="6.968 0.000 0.000 0.000 6.968 0.000 -3.484 -3.484 3.617" Properties=species:S:1:pos:R:3 pbc="T T T"
Ag 3.484 0.000 1.808
Ag 0.000 3.484 1.808
Te 3.484 3.484 0.000
Cl 5.312 1.656 0.438
Cl 1.656 5.312 0.438
Cl 1.828 1.828 3.179
Cl -1.828 -1.828 3.179
```

## Properties
Mass density ... 4.6 g/cm3
Formation energy (no corrections) ... -0.289 eV per atom
Total magnetization ... 0.00 μB/f.u.

[15]
Entry from Alexandria: an optimized crystal structure of Y2ErSc2In5 (PBE-GGA).

extended XYZ file:
```
20
Lattice="-1.069 -1.251 -4.335 8.149 -6.693 -0.077 -6.236 -7.636 3.741" Properties=species:S:1:pos:R:3 pbc="T T T"
Y 4.414 -5.890 0.612
Y -2.501 -8.439 3.052
Y -0.565 -3.651 1.193
Y 2.477 -10.678 2.471
Er 0.000 0.000 0.000
Er 0.956 -7.164 1.832
Sc -2.890 -5.531 2.309
Sc 4.802 -8.798 1.356
Sc -0.443 -10.870 3.246
Sc 2.355 -3.459 0.418
In 0.685 -2.486 -1.931
In 0.159 -13.094 1.260
In -4.967 -7.177 0.816
In 2.481 -8.622 -0.603
In 5.811 -8.403 -1.487
In -1.637 -6.958 -0.068
In -0.284 -9.777 0.412
In 1.128 -5.803 -1.083
In 3.540 -3.972 -2.206
In -3.652 -4.444 -0.297
```

## Properties
Mass density ... 6.5 g/cm3
Formation energy from the elements ... -0.335 eV/atom
Total magnetization ... 0.00 μB/f.u.

[16]
Entry from Alexandria: an optimized crystal structure of Co2OsPdAu (PBE-GGA).

extended XYZ file:
```
5
Lattice="-4.551 0.564 0.226 -0.387 -1.216 -4.766 -0.489 -4.414 1.166" Properties=species:S:1:pos:R:3 pbc="T T T"
Os -0.193 -0.608 -2.383
Au 0.000 0.000 0.000
Pd -2.714 -2.533 -1.687
Co -0.245 -2.207 0.583
Co -2.276 0.282 0.113
```

## Properties
Mass density ... 9.8 g/cm3
Formation energy from the elements ... 1.989 eV/atom
Total magnetization ... 6.88 μB/f.u.

[17]
Entry from Alexandria: an optimized crystal structure of Dy3Mg3Tl2Hg (PBE-GGA).

extended XYZ file:
```
9
Lattice="-3.974 -1.643 -1.591 -1.423 -3.089 6.744 -2.310 7.034 -1.496" Properties=species:S:1:pos:R:3 pbc="T T T"
Dy -0.970 2.954 -0.628
Dy -2.165 2.288 3.044
Dy -0.598 -1.297 2.833
Mg -3.070 -3.173 4.338
Mg -2.878 0.120 0.457
Mg -3.745 4.533 -1.934
Tl -4.001 2.838 0.455
Tl -3.706 -0.536 3.202
Hg 0.000 0.000 0.000
```

## Properties
Mass density ... 8.6 g/cm3
Formation energy from the elements ... -0.370 eV/atom
Total magnetization ... 0.00 μB/f.u.

[18]
Entry from Alexandria: an optimized crystal structure of Ca2NiIrRu (PBE-GGA).

extended XYZ file:
```
5
Lattice="5.056 0.000 0.000 0.000 4.490 0.000 0.000 0.000 5.056" Properties=species:S:1:pos:R:3 pbc="T T T"
Ru 2.528 2.245 2.528
Ca 0.000 0.000 2.528
Ca 2.528 0.000 0.000
Ir 0.000 2.245 0.000
Ni 0.000 0.000 0.000
```

## Properties
Mass density ... 6.3 g/cm3
Formation energy from the elements ... 0.782 eV/atom
Total magnetization ... 2.16 μB/f.u.

[19]
Entry from Alexandria: an optimized crystal structure of GaHgAsSe2 (PBE-GGA).

extended XYZ file:
```
5
Lattice="-3.756 -3.332 1.921 3.787 -3.671 1.037 0.648 2.013 4.757" Properties=species:S:1:pos:R:3 pbc="T T T"
As 0.324 1.006 2.378
Ga 0.340 -2.495 3.858
Hg 0.000 0.000 0.000
Se 1.894 -1.836 0.519
Se -1.878 -1.666 0.961
```

## Properties
Mass density ... 5.6 g/cm3
Formation energy (no corrections) ... 0.661 eV per atom
Total magnetization ... 1.22 μB/f.u.
Offset from the most stable computed form ... 20.79 kJ/mol of atoms

[20]
Entry from Alexandria: an optimized crystal structure of Na2NdHg5 (PBE-GGA).

extended XYZ file:
```
8
Lattice="4.605 0.000 -1.266 -0.348 4.592 -1.266 0.151 0.163 9.558" Properties=species:S:1:pos:R:3 pbc="T T T"
Na 3.267 3.524 2.877
Na 1.141 1.230 4.150
Nd 0.000 0.000 0.000
Hg 2.128 2.296 -1.266
Hg 3.999 1.830 5.540
Hg 1.523 4.126 5.540
Hg 0.409 2.924 1.486
Hg 2.885 0.628 1.486
```

## Properties
Mass density ... 9.7 g/cm3
Formation energy from the elements ... -0.290 eV/atom
Total magnetization ... 0.00 μB/f.u.

[21]
Entry from Alexandria: an optimized crystal structure of NpRh5 (PBE-GGA).

extended XYZ file:
```
6
Lattice="-0.671 -1.166 3.776 4.576 1.336 -0.902 -2.928 4.659 0.918" Properties=species:S:1:pos:R:3 pbc="T T T"
Np 0.903 4.529 3.686
Rh 0.822 3.329 1.174
Rh 0.007 0.899 2.407
Rh -1.393 3.226 2.876
Rh 2.367 2.199 3.227
Rh 2.223 1.002 0.704
```

## Properties
Mass density ... 13.4 g/cm3
Formation energy from the elements ... -0.210 eV/atom
Total magnetization ... 0.84 μB/f.u.

[22]
Entry from Alexandria: an optimized crystal structure of Sc2ZnIr (PBE-GGA).

extended XYZ file:
```
4
Lattice="-1.320 -1.887 4.387 -2.559 -4.147 -0.896 4.432 1.461 -1.665" Properties=species:S:1:pos:R:3 pbc="T T T"
Ir 0.586 -1.721 2.234
Sc 0.000 0.000 0.000
Sc -0.033 -2.851 -0.408
Zn -1.940 -3.017 1.745
```

## Properties
Mass density ... 8.4 g/cm3
Formation energy from the elements ... -0.523 eV/atom
Total magnetization ... 0.00 μB/f.u.
Offset from the most stable computed form ... 19.12 kJ/mol of atoms

[23]
Entry from Alexandria: an optimized crystal structure of Zr2MnCl (PBE-GGA).

extended XYZ file:
```
4
Lattice="7.730 0.022 -0.002 6.343 4.418 0.002 -7.003 -2.324 2.302" Properties=species:S:1:pos:R:3 pbc="T T T"
Cl 7.748 2.444 0.000
Mn 3.915 2.386 1.152
Zr 13.087 4.128 0.000
Zr 3.429 -0.184 1.150
```

## Properties
Mass density ... 5.8 g/cm3
Formation energy (no corrections) ... -0.267 eV per atom
Total magnetization ... 0.69 μB/f.u.
Offset from the most stable computed form ... 23.41 kJ/mol of atoms

[24]
Entry from Alexandria: an optimized crystal structure of Tb2PmGd (PBE-GGA).

extended XYZ file:
```
4
Lattice="5.064 0.000 0.000 0.000 5.077 0.000 0.000 0.000 5.077" Properties=species:S:1:pos:R:3 pbc="T T T"
Gd 2.532 2.539 2.539
Tb 0.000 0.000 2.539
Tb 0.000 2.539 0.000
Pm 2.532 0.000 0.000
```

## Properties
Mass density ... 7.9 g/cm3
Formation energy from the elements ... 0.014 eV/atom
Total magnetization ... 7.17 μB/f.u.
Offset from the most stable computed form ... 0.00 kJ/mol of atoms